No. 1
Below is a geometry-optimized Hg2BiAu2 structure, with properties calculated at the PBE-GGA level.

Computed properties:
* ρ: 14585 kg/m3
* distance to the lowest polymorph of the same formula: 0.084 eV/atom
* VASP energy: -20.8 eV/cell

Cell lengths 8.579, 8.579, 3.107 Å; angles 90.00, 90.00, 90.00 degrees
Fractional positions:
1 Bi 0.000 0.000 0.000
2 Bi 0.500 0.500 0.000
3 Au 0.666 0.834 0.500
4 Au 0.834 0.334 0.500
5 Au 0.334 0.166 0.500
6 Au 0.166 0.666 0.500
7 Hg 0.131 0.369 0.000
8 Hg 0.869 0.631 0.000
9 Hg 0.369 0.869 0.000
10 Hg 0.631 0.131 0.000

No. 2
Below is a geometry-optimized HgBi2Au2 structure, with properties calculated at the PBE-GGA level.

Computed properties:
* ρ: 12774 kg/m3
* distance to the lowest polymorph of the same formula: 0.067 eV/atom
* VASP energy: -14.3 eV/cell

Cell lengths 3.935, 3.935, 8.943 Å; angles 77.29, 77.29, 90.00 degrees
Fractional positions:
1 Bi 0.387 0.387 0.227
2 Bi 0.613 0.613 0.773
3 Hg 0.000 0.000 0.000
4 Au 0.750 0.250 0.500
5 Au 0.250 0.750 0.500

No. 3
Below is a geometry-optimized Hg2BiAu structure, with properties calculated at the PBE-GGA level.

Computed properties:
* ρ: 13788 kg/m3
* VASP energy: -7.2 eV/cell

Cell lengths 4.658, 4.568, 4.568 Å; angles 90.00, 90.00, 90.00 degrees
Fractional positions:
1 Hg 0.000 0.500 0.000
2 Hg 0.000 0.000 0.500
3 Bi 0.500 0.000 0.000
4 Au 0.500 0.500 0.500

No. 4
Below is a geometry-optimized HgBi4Au2 structure, with properties calculated at the PBE-GGA level.

Computed properties:
* ρ: 11976 kg/m3
* distance to the lowest polymorph of the same formula: 0.032 eV/atom
* VASP energy: -44.0 eV/cell

Cell lengths 4.174, 9.748, 9.748 Å; angles 90.00, 90.00, 90.00 degrees
Fractional positions:
1 Bi 0.500 0.614 0.158
2 Bi 0.500 0.842 0.386
3 Bi 0.000 0.342 0.114
4 Bi 0.000 0.886 0.658
5 Bi 0.000 0.114 0.342
6 Bi 0.000 0.658 0.886
7 Bi 0.500 0.158 0.614
8 Bi 0.500 0.386 0.842
9 Hg 0.500 0.000 0.000
10 Hg 0.000 0.500 0.500
11 Au 0.000 0.147 0.853
12 Au 0.000 0.853 0.147
13 Au 0.500 0.647 0.647
14 Au 0.500 0.353 0.353

No. 5
Below is a geometry-optimized HgBi2Au2 structure, with properties calculated at the PBE-GGA level.

Computed properties:
* ρ: 13045 kg/m3
* distance to the lowest polymorph of the same formula: 0.020 eV/atom
* VASP energy: -29.1 eV/cell

Cell lengths 4.784, 6.276, 9.729 Å; angles 85.67, 77.31, 64.79 degrees
Fractional positions:
1 Hg 0.427 0.050 0.346
2 Hg 0.573 0.950 0.654
3 Au 0.755 0.340 0.396
4 Au 0.464 0.816 0.086
5 Au 0.245 0.660 0.604
6 Au 0.536 0.184 0.914
7 Bi 0.114 0.704 0.911
8 Bi 0.105 0.658 0.325
9 Bi 0.895 0.342 0.675
10 Bi 0.886 0.296 0.089

No. 6
Below is a geometry-optimized Hg2Bi2Au structure, with properties calculated at the PBE-GGA level.

Computed properties:
* ρ: 12651 kg/m3
* distance to the lowest polymorph of the same formula: 0.137 eV/atom
* VASP energy: -21.4 eV/cell

Cell lengths 7.438, 7.438, 4.821 Å; angles 90.00, 90.00, 90.00 degrees
Fractional positions:
1 Au 0.500 0.500 0.000
2 Au 0.000 0.000 0.000
3 Hg 0.647 0.147 0.000
4 Hg 0.353 0.853 0.000
5 Hg 0.147 0.353 0.000
6 Hg 0.853 0.647 0.000
7 Bi 0.658 0.842 0.500
8 Bi 0.842 0.342 0.500
9 Bi 0.158 0.658 0.500
10 Bi 0.342 0.158 0.500